The following is a meta-GGA SCAN calculation of a crystal of SnHgCl2 relaxed with PBEsol, from the Alexandria database.

abc: 3.4400 3.4400 28.5449
angles: 90.00 90.00 120.00
Closest atoms and distances in Å follow each position.
Fractional positions:
1 Sn 0.0000 0.0000 0.0000  2 Cl 2.57
2 Sn 0.3333 0.6667 0.6667  2 Cl 2.57
3 Sn 0.6667 0.3333 0.3333  2 Cl 2.57
4 Hg 0.0000 0.0000 0.5000  6 Cl 2.95
5 Hg 0.3333 0.6667 0.1667  6 Cl 2.95
6 Hg 0.6667 0.3333 0.8333  6 Cl 2.95
7 Cl 0.0000 0.0000 0.0901  1 Sn 2.57
8 Cl 0.0000 0.0000 0.9099  1 Sn 2.57
9 Cl 0.3333 0.6667 0.5766  1 Sn 2.57
10 Cl 0.3333 0.6667 0.7567  1 Sn 2.57
11 Cl 0.6667 0.3333 0.2433  1 Sn 2.57
12 Cl 0.6667 0.3333 0.4234  1 Sn 2.57

**Polymorph energy (0 for the lowest one)**: 303 meV per atom
**Energy relative to the elements, uncorrected**: -0.33 eV per atom
**Space-group type**: No. 166

The following is a meta-GGA SCAN calculation of a crystal of KSiSe3 relaxed with PBEsol, from the Alexandria database.

abc: 5.3723 5.3723 5.3723
angles: 90.00 90.00 90.00
Closest atoms and distances in Å follow each position.
Fractional positions:
1 K 0.0000 0.0000 0.0000  6 Se 2.69
2 Si 0.5000 0.5000 0.5000  12 Se 3.80
3 Se 0.0000 0.0000 0.5000  2 K 2.69
4 Se 0.0000 0.5000 0.0000  2 K 2.69
5 Se 0.5000 0.0000 0.0000  2 K 2.69

**Energy relative to the elements, uncorrected**: 1.34 eV per atom
**Space-group type**: No. 221

The following is a meta-GGA SCAN calculation of a crystal of BiPd2S relaxed with PBEsol, from the Alexandria database.

abc: 4.8186 4.8186 14.4570
angles: 90.00 90.00 90.00
Closest atoms and distances in Å follow each position.
Fractional positions:
1 Bi 0.0000 0.0000 0.0000  4 Pd 2.80
2 Bi 0.0000 0.5000 0.2500  4 Pd 2.80
3 Bi 0.5000 0.0000 0.7500  4 Pd 2.80
4 Bi 0.5000 0.5000 0.5000  4 Pd 2.80
5 Pd 0.1332 0.2500 0.6250  2 S 2.26
6 Pd 0.2500 0.6332 0.8750  2 S 2.26
7 Pd 0.2500 0.8668 0.3750  2 S 2.26
8 Pd 0.3668 0.2500 0.1250  2 S 2.26
9 Pd 0.6332 0.7500 0.1250  2 S 2.26
10 Pd 0.7500 0.1332 0.3750  2 S 2.26
11 Pd 0.7500 0.3668 0.8750  2 S 2.26
12 Pd 0.8668 0.7500 0.6250  2 S 2.26
13 S 0.0000 0.0000 0.5000  4 Pd 2.26
14 S 0.0000 0.5000 0.7500  4 Pd 2.26
15 S 0.5000 0.0000 0.2500  4 Pd 2.26
16 S 0.5000 0.5000 0.0000  4 Pd 2.26

**Energy relative to the elements, uncorrected**: -0.23 eV per atom
**Space-group type**: No. 122

The following is a meta-GGA SCAN calculation of a crystal of Y2PSe relaxed with PBEsol, from the Alexandria database.

abc: 3.9912 3.9912 5.6260
angles: 90.00 90.00 90.00
Closest atoms and distances in Å follow each position.
Fractional positions:
1 Y 0.0000 0.0000 0.0000  2 P 2.81, 4 Se 2.82
2 Y 0.5000 0.5000 0.5000  2 Se 2.81, 4 P 2.82
3 P 0.0000 0.0000 0.5000  6 Y 2.81-2.82
4 Se 0.5000 0.5000 0.0000  6 Y 2.81-2.82

**Polymorph energy (0 for the lowest one)**: 44 meV per atom
**Energy relative to the elements, uncorrected**: -1.99 eV per atom
**Space-group type**: No. 123

The following is a meta-GGA SCAN calculation of a crystal of LaIn2Ir relaxed with PBEsol, from the Alexandria database.

abc: 5.3766 7.9748 4.6518
angles: 90.00 90.00 90.00
Closest atoms and distances in Å follow each position.
Fractional positions:
1 La 0.0000 0.0000 0.0000  2 Ir 2.69
2 La 0.5000 0.5000 0.0000  2 Ir 2.69
3 In 0.0000 0.3213 0.5000  2 Ir 2.73, 3 In 2.85-2.92
4 In 0.0000 0.6787 0.5000  2 Ir 2.73, 3 In 2.85-2.92
5 In 0.5000 0.1787 0.5000  2 Ir 2.73, 3 In 2.85-2.92
6 In 0.5000 0.8213 0.5000  2 Ir 2.73, 3 In 2.85-2.92
7 Ir 0.0000 0.5000 0.0000  2 La 2.69, 4 In 2.73
8 Ir 0.5000 0.0000 0.0000  2 La 2.69, 4 In 2.73

**Space-group type**: No. 65
**Calculated total energy**: -45.81 eV/atom

The following is a meta-GGA SCAN calculation of a crystal of V3Se4 relaxed with PBEsol, from the Alexandria database.

abc: 13.0584 3.3336 6.0864
angles: 90.00 115.61 90.00
Closest atoms and distances in Å follow each position.
Fractional positions:
1 V 0.0000 0.0000 0.0000  6 Se 2.48-2.54
2 V 0.2442 0.5000 0.6779  6 Se 2.41-2.69
3 V 0.2558 0.0000 0.3221  6 Se 2.41-2.69
4 V 0.5000 0.5000 0.0000  6 Se 2.48-2.54
5 V 0.7442 0.0000 0.6779  6 Se 2.41-2.69
6 V 0.7558 0.5000 0.3221  6 Se 2.41-2.69
7 Se 0.1048 0.0000 0.4501  4 V 2.41-2.48
8 Se 0.1414 0.5000 0.9765  5 V 2.54-2.69
9 Se 0.3586 0.0000 0.0235  5 V 2.54-2.69
10 Se 0.3952 0.5000 0.5499  4 V 2.41-2.48
11 Se 0.6048 0.5000 0.4501  4 V 2.41-2.48
12 Se 0.6414 0.0000 0.9765  5 V 2.54-2.69
13 Se 0.8586 0.5000 0.0235  5 V 2.54-2.69
14 Se 0.8952 0.0000 0.5499  4 V 2.41-2.48

**Energy relative to the elements, uncorrected**: -0.87 eV per atom
**Space-group type**: No. 12

The following is a meta-GGA SCAN calculation of a crystal of Tl2AgOs relaxed with PBEsol, from the Alexandria database.

abc: 4.7250 4.7250 6.7239
angles: 90.00 90.00 90.00
Closest atoms and distances in Å follow each position.
Fractional positions:
1 Tl 0.0000 0.5000 0.2500  4 Os 2.90, 4 Ag 2.90
2 Tl 0.0000 0.5000 0.7500  4 Os 2.90, 4 Ag 2.90
3 Tl 0.5000 0.0000 0.2500  4 Os 2.90, 4 Ag 2.90
4 Tl 0.5000 0.0000 0.7500  4 Os 2.90, 4 Ag 2.90
5 Ag 0.0000 0.0000 0.0000  8 Tl 2.90
6 Ag 0.5000 0.5000 0.5000  8 Tl 2.90
7 Os 0.0000 0.0000 0.5000  8 Tl 2.90
8 Os 0.5000 0.5000 0.0000  8 Tl 2.90

**Polymorph energy (0 for the lowest one)**: 49 meV per atom
**Space-group type**: No. 139

The following is a meta-GGA SCAN calculation of a crystal of LiCa2Zn2 relaxed with PBEsol, from the Alexandria database.

abc: 7.5844 7.5844 4.2949
angles: 90.00 90.00 90.00
Closest atoms and distances in Å follow each position.
Fractional positions:
1 Li 0.0000 0.0000 0.0000  4 Zn 3.02
2 Li 0.5000 0.5000 0.0000  4 Zn 3.02
3 Ca 0.1747 0.3253 0.5000  6 Zn 3.07-3.13
4 Ca 0.3253 0.8253 0.5000  6 Zn 3.07-3.13
5 Ca 0.6747 0.1747 0.5000  6 Zn 3.07-3.13
6 Ca 0.8253 0.6747 0.5000  6 Zn 3.07-3.13
7 Zn 0.1202 0.6202 0.0000  1 Zn 2.58
8 Zn 0.3798 0.1202 0.0000  1 Zn 2.58
9 Zn 0.6202 0.8798 0.0000  1 Zn 2.58
10 Zn 0.8798 0.3798 0.0000  1 Zn 2.58

**Polymorph energy (0 for the lowest one)**: 0 meV per atom
**Space-group type**: No. 127

no.,calculated density (g/cm3),V (Å³/cell)
1,6.64,292.5
2,3.26,155.1
3,8.98,335.7
4,5.33,89.6
5,9.34,199.5
6,6.51,238.9
7,15.64,150.1
8,2.93,247.1